(1)
First-principles (PBE) data for a relaxed TaBeMo3 crystal, as listed in Alexandria via LeMat-Bulk. Values from VASP.

Calculated values
For the calculated formation energy, the calculation gives 2.14 eV per atom. The relative energy among the computed polymorphs comes out at 1514.3 meV per atom. The energy comes out at -0.27486 hartree per atom. The value obtained for the calculated density is 7425 kg/m3.

```
&SYSTEM
  ibrav = 0, nat = 5, ntyp = 3
/
ATOMIC_SPECIES
Ta 180.95 Ta.upf
Be 9.01 Be.upf
Mo 95.94 Mo.upf
CELL_PARAMETERS angstrom
4.745 0.000 0.000
0.000 4.745 0.000
0.000 0.000 4.745
ATOMIC_POSITIONS crystal
Ta 0.000 0.000 0.000
Be 0.500 0.500 0.500
Mo 0.000 0.000 0.500
Mo 0.000 0.500 0.000
Mo 0.500 0.000 0.000
```

(2)
First-principles (PBE) data for a relaxed Li6Al2Zn crystal, as listed in Alexandria via LeMat-Bulk. Values from VASP.

Calculated values
For the calculated formation energy, the calculation gives -0.14 eV per atom. The relative energy among the computed polymorphs comes out at 6.4 meV per atom. The energy comes out at -0.08793 hartree per atom. The value obtained for the calculated density is 1884 kg/m3.

```
&SYSTEM
  ibrav = 0, nat = 9, ntyp = 3
/
ATOMIC_SPECIES
Li 6.94 Li.upf
Al 26.98 Al.upf
Zn 65.41 Zn.upf
CELL_PARAMETERS angstrom
6.700 -3.913 0.000
6.700 3.913 0.000
-0.005 0.000 2.708
ATOMIC_POSITIONS crystal
Li 0.166 0.834 0.000
Li 0.167 0.500 0.000
Li 0.500 0.167 0.000
Li 0.500 0.833 0.000
Li 0.833 0.500 0.000
Li 0.834 0.166 0.000
Al 0.167 0.167 0.500
Al 0.833 0.833 0.500
Zn 0.500 0.500 0.500
```

> Number 2 is which compound?

Li6Al2Zn